Entry 1:
# IrAu2, optimized geometry, DFT PBE
# electronic total energy	-57.8	eV for the cell shown
# total moment	0.0	μB per formula unit
# calculated density	19.14	g/cm3
# D(E_F)	15.1	states/eV/cell
# formation energy	0.960	eV/f.u.
# ΔE to the lowest computed polymorph	62	meV per atom
data_IrAu2
_symmetry_space_group_name_H-M 'C 1 m 1'
_symmetry_Int_Tables_number 8
_symmetry_space_group_name_Hall 'C -2y'
_cell_length_a 10.794
_cell_length_b 2.837
_cell_length_c 6.943
_cell_angle_alpha 90.00
_cell_angle_beta 106.99
_cell_angle_gamma 90.00
loop_
_atom_site_label
_atom_site_type_symbol
_atom_site_fract_x
_atom_site_fract_y
_atom_site_fract_z
Ir1 Ir 0.000 0.000 0.000
Ir2 Ir 0.145 0.500 0.298
Au1 Au 0.097 0.500 0.715
Au2 Au 0.277 0.000 0.045
Au3 Au 0.316 0.000 0.648
Au4 Au 0.434 0.500 0.381

---

Entry 2:
# Ir5Au3, optimized geometry, DFT PBE
# electronic total energy	-99.8	eV for the cell shown
# total moment	0.0	μB per formula unit
# calculated density	18.63	g/cm3
# D(E_F)	17.2	states/eV/cell
# formation energy	4.244	eV/f.u.
# ΔE to the lowest computed polymorph	0	meV per atom
data_Ir5Au3
_symmetry_space_group_name_H-M 'P -1'
_symmetry_Int_Tables_number 2
_symmetry_space_group_name_Hall '-P 1'
_cell_length_a 4.725
_cell_length_b 7.526
_cell_length_c 8.341
_cell_angle_alpha 83.86
_cell_angle_beta 75.17
_cell_angle_gamma 74.91
loop_
_atom_site_label
_atom_site_type_symbol
_atom_site_fract_x
_atom_site_fract_y
_atom_site_fract_z
Ir1 Ir 0.021 0.159 0.238
Ir2 Ir 0.228 0.254 0.840
Ir3 Ir 0.236 0.566 0.942
Ir4 Ir 0.275 0.636 0.246
Ir5 Ir 0.426 0.273 0.302
Au1 Au 0.206 0.522 0.582
Au2 Au 0.296 0.907 0.996
Au3 Au 0.329 0.907 0.436

---

Entry 3:
# Ir5Au, optimized geometry, DFT PBE
# electronic total energy	-43.7	eV for the cell shown
# total moment	0.7	μB per formula unit
# calculated density	18.90	g/cm3
# D(E_F)	9.8	states/eV/cell
# formation energy	3.836	eV/f.u.
# ΔE to the lowest computed polymorph	396	meV per atom
data_Ir5Au
_symmetry_space_group_name_H-M 'P 6/m m m'
_symmetry_Int_Tables_number 191
_symmetry_space_group_name_Hall '-P 6 2'
_cell_length_a 5.1096
_cell_length_b 5.1096
_cell_length_c 4.4998
_cell_angle_alpha 90.00
_cell_angle_beta 90.00
_cell_angle_gamma 120.00
loop_
_atom_site_label
_atom_site_type_symbol
_atom_site_fract_x
_atom_site_fract_y
_atom_site_fract_z
Ir1 Ir 0.0000 0.5000 0.0000
Ir2 Ir 0.3333 0.6667 0.5000
Au1 Au 0.0000 0.0000 0.5000

---

Entry 4:
# IrAu4, optimized geometry, DFT PBE
# electronic total energy	-16.0	eV for the cell shown
# total moment	0.8	μB per formula unit
# calculated density	12.91	g/cm3
# D(E_F)	6.0	states/eV/cell
# formation energy	5.959	eV/f.u.
# ΔE to the lowest computed polymorph	899	meV per atom
data_IrAu4
_symmetry_space_group_name_H-M 'P m -3 m'
_symmetry_Int_Tables_number 221
_symmetry_space_group_name_Hall '-P 4 2 3'
_cell_length_a 5.014
_cell_length_b 5.014
_cell_length_c 5.014
_cell_angle_alpha 90.00
_cell_angle_beta 90.00
_cell_angle_gamma 90.00
loop_
_atom_site_label
_atom_site_type_symbol
_atom_site_fract_x
_atom_site_fract_y
_atom_site_fract_z
Ir1 Ir 0.000 0.000 0.000
Au1 Au 0.000 0.000 0.500
Au2 Au 0.500 0.500 0.500

---

Entry 5:
# Ir5Au3, optimized geometry, DFT PBE
# electronic total energy	-96.0	eV for the cell shown
# total moment	0.0	μB per formula unit
# calculated density	18.80	g/cm3
# D(E_F)	22.9	states/eV/cell
# formation energy	6.114	eV/f.u.
# ΔE to the lowest computed polymorph	234	meV per atom
data_Ir5Au3
_symmetry_space_group_name_H-M 'P 63/m c m'
_symmetry_Int_Tables_number 193
_symmetry_space_group_name_Hall '-P 6c 2'
_cell_length_a 8.1241
_cell_length_b 8.1241
_cell_length_c 4.7987
_cell_angle_alpha 90.00
_cell_angle_beta 90.00
_cell_angle_gamma 120.00
loop_
_atom_site_label
_atom_site_type_symbol
_atom_site_fract_x
_atom_site_fract_y
_atom_site_fract_z
Ir1 Ir 0.0000 0.1845 0.2500
Ir2 Ir 0.3333 0.6667 0.0000
Au1 Au 0.0000 0.3946 0.7500

---

Entry 6:
# IrAu2, optimized geometry, DFT PBE
# electronic total energy	-58.3	eV for the cell shown
# total moment	0.0	μB per formula unit
# calculated density	19.25	g/cm3
# D(E_F)	12.3	states/eV/cell
# formation energy	0.845	eV/f.u.
# ΔE to the lowest computed polymorph	24	meV per atom
data_IrAu2
_symmetry_space_group_name_H-M 'C 1 2/m 1'
_symmetry_Int_Tables_number 12
_symmetry_space_group_name_Hall '-C 2y'
_cell_length_a 12.463
_cell_length_b 2.868
_cell_length_c 5.822
_cell_angle_alpha 90.00
_cell_angle_beta 103.73
_cell_angle_gamma 90.00
loop_
_atom_site_label
_atom_site_type_symbol
_atom_site_fract_x
_atom_site_fract_y
_atom_site_fract_z
Ir1 Ir 0.176 0.000 0.071
Au1 Au 0.002 0.500 0.239
Au2 Au 0.166 0.000 0.578

---

Entry 7:
# IrAu5, optimized geometry, DFT PBE
# electronic total energy	-87.0	eV for the cell shown
# total moment	0.0	μB per formula unit
# calculated density	17.47	g/cm3
# D(E_F)	10.5	states/eV/cell
# formation energy	3.488	eV/f.u.
# ΔE to the lowest computed polymorph	371	meV per atom
data_IrAu5
_symmetry_space_group_name_H-M 'F -4 3 m'
_symmetry_Int_Tables_number 216
_symmetry_space_group_name_Hall 'F -4 2 3'
_cell_length_a 7.649
_cell_length_b 7.649
_cell_length_c 7.649
_cell_angle_alpha 90.00
_cell_angle_beta 90.00
_cell_angle_gamma 90.00
loop_
_atom_site_label
_atom_site_type_symbol
_atom_site_fract_x
_atom_site_fract_y
_atom_site_fract_z
Ir1 Ir 0.000 0.000 0.000
Au1 Au 0.125 0.125 0.625
Au2 Au 0.250 0.250 0.250

---

Entry 8:
# IrAu5, optimized geometry, DFT PBE
# electronic total energy	-47.9	eV for the cell shown
# total moment	0.0	μB per formula unit
# calculated density	18.68	g/cm3
# D(E_F)	7.4	states/eV/cell
# formation energy	1.288	eV/f.u.
# ΔE to the lowest computed polymorph	5	meV per atom
data_IrAu5
_symmetry_space_group_name_H-M 'A m m 2'
_symmetry_Int_Tables_number 38
_symmetry_space_group_name_Hall 'A 2 -2'
_cell_length_a 4.870
_cell_length_b 2.852
_cell_length_c 15.063
_cell_angle_alpha 90.00
_cell_angle_beta 90.00
_cell_angle_gamma 90.00
loop_
_atom_site_label
_atom_site_type_symbol
_atom_site_fract_x
_atom_site_fract_y
_atom_site_fract_z
Ir1 Ir 0.000 0.000 0.000
Au1 Au 0.000 0.000 0.338
Au2 Au 0.000 0.000 0.664
Au3 Au 0.500 0.000 0.112
Au4 Au 0.500 0.000 0.449
Au5 Au 0.500 0.000 0.779

---

What did the third record say?
# Ir5Au, optimized geometry, DFT PBE
# electronic total energy	-43.7	eV for the cell shown
# total moment	0.7	μB per formula unit
# calculated density	18.90	g/cm3
# D(E_F)	9.8	states/eV/cell
# formation energy	3.836	eV/f.u.
# ΔE to the lowest computed polymorph	396	meV per atom
data_Ir5Au
_symmetry_space_group_name_H-M 'P 6/m m m'
_symmetry_Int_Tables_number 191
_symmetry_space_group_name_Hall '-P 6 2'
_cell_length_a 5.1096
_cell_length_b 5.1096
_cell_length_c 4.4998
_cell_angle_alpha 90.00
_cell_angle_beta 90.00
_cell_angle_gamma 120.00
loop_
_atom_site_label
_atom_site_type_symbol
_atom_site_fract_x
_atom_site_fract_y
_atom_site_fract_z
Ir1 Ir 0.0000 0.5000 0.0000
Ir2 Ir 0.3333 0.6667 0.5000
Au1 Au 0.0000 0.0000 0.5000

---

- Among the records above, which one has the highest electronic total energy?
  IrAu4